# 1
# Nd2TmGe3Rh4 (GGA-PBE, optimized geometry)
data_Nd2TmGe3Rh4
_space_group_name_H-M_alt 'P -4 m 2'
_space_group_IT_number 115
_cell_length_a 4.186
_cell_length_b 4.186
_cell_length_c 11.154
_cell_angle_alpha 90.00
_cell_angle_beta 90.00
_cell_angle_gamma 90.00
loop_
_space_group_symop_operation_xyz
'x,y,z'
'y,-x,-z'
'-x,-y,z'
'-y,x,-z'
'-x,y,z'
'-y,-x,-z'
'x,-y,z'
'y,x,-z'
loop_
_atom_site_label
_atom_site_fract_x
_atom_site_fract_y
_atom_site_fract_z
Nd1 0.000 0.500 0.231
Tm1 0.000 0.000 0.500
Ge1 0.000 0.500 0.878
Ge2 0.500 0.500 0.500
Rh1 0.000 0.000 0.000
Rh2 0.000 0.500 0.655
Rh3 0.500 0.500 0.000
# Calculated formation energy, kJ/mol of formula units: -863.2
# Electronic total energy, eV per atom: -6.621
# Total moment, Bohr magnetons per cell: 0.00

=====

# 2
# CsBaCd2 (GGA-PBE, optimized geometry)
data_CsBaCd2
_space_group_name_H-M_alt 'F m -3 m'
_space_group_IT_number 225
_space_group_name_Hall '-F 4 2 3'
_cell_length_a 8.831
_cell_length_b 8.831
_cell_length_c 8.831
_cell_angle_alpha 90.00
_cell_angle_beta 90.00
_cell_angle_gamma 90.00
loop_
_atom_site_label
_atom_site_fract_x
_atom_site_fract_y
_atom_site_fract_z
Cs1 0.000 0.000 0.000
Ba1 0.000 0.000 0.500
Cd1 0.250 0.250 0.250
# Calculated formation energy, kJ/mol of formula units: -21.7
# Electronic total energy, eV per atom: -1.208
# Total moment, Bohr magnetons per cell: 0.00
# Energy relative to the lowest polymorph listed for this composition, eV per formula unit: 0.260

=====

| no. | calculated volume (Å³/atom) |
| --- | --- |
| 1 | 19.5 |
| 2 | 43.0 |